# 1
Computed, not measured: LiOsPb2 at its PBEsol-relaxed geometry at the meta-GGA SCAN level of DFT.

Cell lengths 4.750, 4.750, 4.750 Å; angles 60.00, 60.00, 60.00 degrees
Fractional positions:
Li  0.000  0.000  0.000
Os  0.500  0.500  0.500
Pb  0.250  0.250  0.250
Pb  0.750  0.750  0.750

Properties
Formation energy from the elements = 0.352 eV per atom
Symmetry = Fm-3m, No. 225

---

# 2
Computed, not measured: LiOsPb2 at its PBEsol-relaxed geometry at the meta-GGA SCAN level of DFT.

Cell lengths 3.410, 4.750, 4.750 Å; angles 90.00, 90.00, 90.00 degrees
Fractional positions:
Li  0.500  0.500  0.500
Os  0.500  0.000  0.000
Pb  0.000  0.000  0.500
Pb  0.000  0.500  0.000

Properties
Formation energy from the elements = 0.570 eV per atom
Symmetry = P4/mmm, No. 123

---

# 3
Computed, not measured: LiTeOsPb2 at its PBEsol-relaxed geometry at the meta-GGA SCAN level of DFT.

Cell lengths 5.205, 5.205, 5.498 Å; angles 90.00, 90.00, 90.00 degrees
Site moments in Bohr magnetons follow the coordinates.
Fractional positions:
Pb  0.000  0.500  0.000  0.07
Pb  0.500  0.000  0.000  0.07
Te  0.000  0.000  0.500  0.09
Os  0.000  0.000  0.000  0.52
Li  0.500  0.500  0.500  0.01

Properties
Energy relative to the elements, uncorrected = 0.4409 eV per atom
Symmetry = P4/mmm, No. 123

---

Number 1: mass density 13.4 g cm⁻³, uncorrected energy -56.11 eV per atom. Number 2: mass density 13.2 g cm⁻³, uncorrected energy -55.89 eV per atom. Number 3: mass density 8.2 g cm⁻³, uncorrected energy -52.18 eV per atom.